Density functional theory data (PBE with a Hubbard U) for a relaxed AcUNi2O6 crystal.

Properties
For the calculated volume, the calculation gives 14.076 Å³/atom. For the total energy, the calculation gives -7.33 eV per atom.

abc: 5.703 5.726 8.629
angles: 90.00 92.70 90.00
Last column: magnetic moment on the atom in μB.
Positions (direct):
Ni 0.968 0.991 0.262  1.76
Ni 0.032 0.009 0.738  1.76
Ni 0.532 0.491 0.238  1.76
Ni 0.468 0.509 0.762  1.76
U 0.500 0.000 0.500  1.14
U 0.000 0.500 0.000  1.14
O 0.115 0.183 0.103  0.02
O 0.671 0.366 0.928  0.02
O 0.885 0.817 0.897  0.02
O 0.329 0.634 0.072  0.02
O 0.171 0.134 0.428  0.02
O 0.152 0.342 0.776  0.06
O 0.829 0.866 0.572  0.02
O 0.848 0.658 0.224  0.06
O 0.385 0.683 0.397  0.02
O 0.348 0.842 0.724  0.06
O 0.615 0.317 0.603  0.02
O 0.652 0.158 0.276  0.06
Ac 0.500 0.000 0.000  0.00
Ac 0.000 0.500 0.500  0.00